Here is a relaxed structure of Rb3Mg2UO6 from Alexandria via LeMat-Bulk. Energies are from PBE.

uncorrected formation energy: -2.300 eV per atom
SG: No. 12

a b c (Å): 5.773 5.773 6.756
angles (deg): 98.08 98.08 120.12
Fractional coordinates of all 12 atoms:
1 Rb 0.000 0.000 0.000
2 Rb 0.328 0.672 0.000
3 Rb 0.672 0.328 0.000
4 Mg 0.167 0.833 0.500
5 Mg 0.833 0.167 0.500
6 U 0.500 0.500 0.500
7 O 0.116 0.442 0.330
8 O 0.231 0.231 0.673
9 O 0.442 0.116 0.330
10 O 0.558 0.884 0.670
11 O 0.769 0.769 0.327
12 O 0.884 0.558 0.670

---

Here is a relaxed structure of Rb2MgU3O12 from Alexandria via LeMat-Bulk. Energies are from PBE.

uncorrected formation energy: -2.650 eV per atom
SG: No. 166

a b c (Å): 7.524 7.524 7.524
angles (deg): 64.40 64.40 64.40
Fractional coordinates of all 18 atoms:
1 Rb 0.126 0.126 0.126
2 Rb 0.874 0.874 0.874
3 Mg 0.500 0.500 0.500
4 U 0.000 0.500 0.500
5 U 0.500 0.000 0.500
6 U 0.500 0.500 0.000
7 O 0.181 0.181 0.566
8 O 0.181 0.566 0.181
9 O 0.183 0.564 0.564
10 O 0.434 0.819 0.819
11 O 0.436 0.436 0.817
12 O 0.436 0.817 0.436
13 O 0.564 0.183 0.564
14 O 0.564 0.564 0.183
15 O 0.566 0.181 0.181
16 O 0.817 0.436 0.436
17 O 0.819 0.434 0.819
18 O 0.819 0.819 0.434